A relaxed structure of TiVCr, computed with PBE.

Cell: 9.195 4.131 5.332 Å, 90.00 124.82 90.00°
Space group C2/m (No. 12)
Symmetry-distinct sites (fractional):
Ti 0.174 0.000 0.092 [4 per cell]
V 0.024 0.500 0.277 [4 per cell]
Cr 0.153 0.000 0.565 [4 per cell]

Calculated values
energy of formation from the pure elements: 0.8 meV/atom